[1]
Computed, not measured: a geometry-optimized Y2MnIr structure at the PBE level of DFT.

a b c (Å): 7.802 7.802 6.136
angles (deg): 90.00 90.00 90.00
Space group I-42d (No. 122)
Inequivalent atoms, fractional coordinates:
Y1 0.217 0.750 0.125 [8 per cell]
Mn1 0.000 0.000 0.500 [4 per cell]
Ir1 0.000 0.000 0.000 [4 per cell]

Calculated values
Crystal system: tetragonal
ΔE_f: 0.103 eV per atom

=====

[2]
Computed, not measured: a geometry-optimized MgCoP2 structure at the PBE level of DFT.

a b c (Å): 4.267 3.599 4.304
angles (deg): 90.00 101.52 90.00
Space group Pm (No. 6)
Inequivalent atoms, fractional coordinates:
Mg1 0.000 0.000 0.000 [1 per cell]
Co1 0.838 0.500 0.529 [1 per cell]
P1 0.339 0.500 0.587 [1 per cell]
P2 0.567 0.000 0.338 [1 per cell]

Calculated values
Crystal system: monoclinic
ΔE_f: -0.200 eV per atom

=====

[3]
Computed, not measured: a geometry-optimized MnNbCoHSe structure at the PBE level of DFT.

a b c (Å): 9.170 3.207 4.553
angles (deg): 90.00 117.04 90.00
Space group Cm (No. 8)
Inequivalent atoms, fractional coordinates:
Mn1 0.000 0.000 0.000 [2 per cell]
Nb1 0.299 0.500 0.280 [2 per cell]
Co1 0.232 0.000 0.752 [2 per cell]
H1 0.183 0.000 0.347 [2 per cell]
Se1 0.034 0.500 0.668 [2 per cell]

Calculated values
Crystal system: monoclinic
Polymorph energy (0 for the lowest one): 139 meV per atom

=====

[4]
Computed, not measured: a geometry-optimized NdDyCuAg structure at the PBE level of DFT.

a b c (Å): 7.256 7.256 7.256
angles (deg): 90.00 90.00 90.00
Space group F-43m (No. 216)
Inequivalent atoms, fractional coordinates:
Nd1 0.000 0.000 0.000 [4 per cell]
Dy1 0.000 0.000 0.500 [4 per cell]
Cu1 0.250 0.250 0.250 [4 per cell]
Ag1 0.250 0.250 0.750 [4 per cell]

Calculated values
Crystal system: cubic
ΔE_f: -0.211 eV per atom
Polymorph energy (0 for the lowest one): 33 meV per atom

=====

[5]
Computed, not measured: a geometry-optimized RbLiMg6O7 structure at the PBE level of DFT.

a b c (Å): 4.599 4.599 8.148
angles (deg): 90.00 90.00 90.00
Space group P4mm (No. 99)
Inequivalent atoms, fractional coordinates:
Rb1 0.000 0.000 0.000 [1 per cell]
Li1 0.000 0.000 0.550 [1 per cell]
Mg1 0.000 0.500 0.329 [2 per cell]
Mg2 0.000 0.500 0.826 [2 per cell]
Mg3 0.500 0.500 0.089 [1 per cell]
Mg4 0.500 0.500 0.578 [1 per cell]
O1 0.000 0.000 0.328 [1 per cell]
O2 0.000 0.500 0.075 [2 per cell]
O3 0.000 0.500 0.593 [2 per cell]
O4 0.500 0.500 0.333 [1 per cell]
O5 0.500 0.500 0.833 [1 per cell]

Calculated values
Crystal system: tetragonal
Formation energy from raw total energies: -29.572 eV per formula unit
Polymorph energy (0 for the lowest one): 45 meV per atom

=====

[6]
Computed, not measured: a geometry-optimized Ga2GeTe structure at the PBE level of DFT.

a b c (Å): 6.037 6.037 12.114
angles (deg): 90.00 90.00 90.00
Space group I-42d (No. 122)
Inequivalent atoms, fractional coordinates:
Ga1 0.206 0.250 0.125 [8 per cell]
Ge1 0.000 0.000 0.000 [4 per cell]
Te1 0.000 0.000 0.500 [4 per cell]

Calculated values
Crystal system: tetragonal
Formation energy from raw total energies: -0.788 eV per formula unit
Polymorph energy (0 for the lowest one): 0 meV per atom